A plane-wave DFT calculation with PBE was carried out for a relaxed Mn4ReTe crystal. Values from VASP.

Cell and atoms, written as Quantum ESPRESSO input:
```
&SYSTEM
  ibrav = 0, nat = 6, ntyp = 3
/
ATOMIC_SPECIES
Mn 54.94 Mn.upf
Re 186.21 Re.upf
Te 127.60 Te.upf
ATOMIC_POSITIONS angstrom
Mn 0.850 0.850 0.850
Mn 2.588 2.588 0.850
Mn 2.588 0.850 2.588
Mn 0.850 2.588 2.588
Re 5.157 5.157 5.157
Te 3.438 3.438 3.438
CELL_PARAMETERS angstrom
0.000 3.438 3.438
3.438 0.000 3.438
3.438 3.438 0.000
```

Output
**Space group**: F-43m
**V**: 81 Å³/cell
**VASP energy**: -8.269 eV per atom